1.
Compound: K3NiPb
Source: Alexandria
Functional: PBE-GGA
Structure: relaxed

Polymorph energy (0 for the lowest one), meV/atom: 0
Energy of formation from the pure elements, meV/atom: 572
Total DFT energy (no corrections), eV/atom: -1.985

Cell lengths 6.064, 6.064, 6.064 Å; angles 90.00, 90.00, 90.00 degrees
Atoms (fractional coordinates):
1 Pb 0.500 0.500 0.500
2 Ni 0.000 0.000 0.000
3 K 0.000 0.500 0.000
4 K 0.000 0.000 0.500
5 K 0.500 0.000 0.000

=====

2.
Compound: La3PrAg3
Source: Alexandria
Functional: PBE-GGA
Structure: relaxed

Polymorph energy (0 for the lowest one), meV/atom: 3
Energy of formation from the pure elements, meV/atom: -125
Total DFT energy (no corrections), eV/atom: -4.142

Cell lengths 7.611, 7.611, 7.270 Å; angles 90.18, 90.18, 93.43 degrees
Atoms (fractional coordinates):
1 La 0.636 0.636 0.394
2 La 0.181 0.819 0.500
3 La 0.819 0.181 0.500
4 La 0.274 0.726 0.000
5 La 0.726 0.274 0.000
6 La 0.364 0.364 0.606
7 Pr 0.748 0.748 0.868
8 Pr 0.252 0.252 0.132
9 Ag 0.933 0.933 0.184
10 Ag 0.010 0.472 0.753
11 Ag 0.472 0.010 0.753
12 Ag 0.990 0.528 0.247
13 Ag 0.528 0.990 0.247
14 Ag 0.067 0.067 0.816

=====

3.
Compound: Na2CaCuF6
Source: Alexandria
Functional: PBE-GGA
Structure: relaxed

Energy relative to the elements, uncorrected, eV per formula unit: -27.1
Total DFT energy (no corrections), eV/atom: -4.710

Cell lengths 5.543, 5.693, 8.671 Å; angles 90.00, 93.89, 90.00 degrees
Site moments in Bohr magnetons follow the coordinates.
Atoms (fractional coordinates):
1 Na 0.023 0.944 0.240  0.00
2 Na 0.523 0.556 0.740  0.00
3 Na 0.977 0.056 0.760  0.00
4 Na 0.477 0.444 0.260  0.00
5 Ca 0.500 0.000 0.000  0.01
6 Ca 0.000 0.500 0.500  0.01
7 Cu 0.500 0.000 0.500  0.73
8 Cu 0.000 0.500 0.000  0.73
9 F 0.276 0.688 0.077  0.06
10 F 0.776 0.812 0.577  0.06
11 F 0.724 0.312 0.923  0.06
12 F 0.224 0.188 0.423  0.06
13 F 0.324 0.718 0.435  0.06
14 F 0.824 0.782 0.935  0.06
15 F 0.676 0.282 0.565  0.06
16 F 0.176 0.218 0.065  0.06
17 F 0.863 0.572 0.257  0.00
18 F 0.363 0.928 0.757  0.00
19 F 0.137 0.428 0.743  0.00
20 F 0.637 0.072 0.243  0.00

=====

4.
Compound: Li4Hg4Pd3
Source: Alexandria
Functional: PBE-GGA
Structure: relaxed

Polymorph energy (0 for the lowest one), meV/atom: 0
Energy of formation from the pure elements, meV/atom: -316
Total DFT energy (no corrections), eV/atom: -2.538

Cell lengths 6.700, 5.633, 7.912 Å; angles 113.77, 122.88, 100.22 degrees
Atoms (fractional coordinates):
1 Li 0.722 0.713 0.053
2 Li 0.278 0.287 0.947
3 Li 0.556 0.220 0.354
4 Li 0.444 0.780 0.646
5 Hg 0.192 0.677 0.831
6 Hg 0.236 0.206 0.527
7 Hg 0.764 0.794 0.473
8 Hg 0.808 0.323 0.169
9 Pd 0.760 0.277 0.764
10 Pd 0.240 0.723 0.236
11 Pd 0.000 0.000 0.000

=====

5.
Compound: PrEuYTl
Source: Alexandria
Functional: PBE-GGA
Structure: relaxed

Energy of formation from the pure elements, meV/atom: -71
Total DFT energy (no corrections), eV/atom: -6.042

Cell lengths 5.615, 5.615, 5.615 Å; angles 60.00, 60.00, 60.00 degrees
Site moments in Bohr magnetons follow the coordinates.
Atoms (fractional coordinates):
1 Eu 0.250 0.250 0.250  6.96
2 Pr 0.000 0.000 0.000  0.15
3 Tl 0.750 0.750 0.750  -0.02
4 Y 0.500 0.500 0.500  0.17

=====

6.
Compound: NaHoBr4
Source: Alexandria
Functional: PBE-GGA
Structure: relaxed

Energy relative to the elements, uncorrected, eV per formula unit: -10.6
Polymorph energy (0 for the lowest one), meV/atom: 0
Total DFT energy (no corrections), eV/atom: -3.860

Cell lengths 4.169, 7.015, 7.546 Å; angles 91.91, 90.00, 90.00 degrees
Atoms (fractional coordinates):
1 Na 0.500 0.000 0.500
2 Ho 0.000 0.000 0.000
3 Br 0.000 0.786 0.300
4 Br 0.500 0.229 0.150
5 Br 0.500 0.771 0.850
6 Br 0.000 0.214 0.700

=====

7.
Compound: Ba2Ag2Rh
Source: Alexandria
Functional: PBE-GGA
Structure: relaxed

Polymorph energy (0 for the lowest one), meV/atom: 186
Energy of formation from the pure elements, meV/atom: 16
Total DFT energy (no corrections), eV/atom: -3.364

Cell lengths 7.661, 7.661, 4.906 Å; angles 90.00, 90.00, 90.00 degrees
Atoms (fractional coordinates):
1 Rh 0.000 0.000 0.000
2 Rh 0.500 0.500 0.000
3 Ba 0.184 0.684 0.500
4 Ba 0.684 0.816 0.500
5 Ba 0.816 0.316 0.500
6 Ba 0.316 0.184 0.500
7 Ag 0.369 0.869 0.000
8 Ag 0.869 0.631 0.000
9 Ag 0.631 0.131 0.000
10 Ag 0.131 0.369 0.000

=====

8.
Compound: KMg6Ni
Source: Alexandria
Functional: PBE-GGA
Structure: relaxed

Polymorph energy (0 for the lowest one), meV/atom: 0
Energy of formation from the pure elements, meV/atom: 171
Total DFT energy (no corrections), eV/atom: -1.885

Cell lengths 8.422, 8.422, 3.840 Å; angles 90.00, 90.00, 126.57 degrees
Atoms (fractional coordinates):
1 K 0.283 0.717 0.500
2 Mg 0.759 0.632 0.500
3 Mg 0.368 0.241 0.500
4 Mg 0.715 0.900 0.000
5 Mg 0.100 0.285 0.000
6 Mg 0.711 0.289 0.000
7 Mg 0.088 0.912 0.000
8 Ni 0.977 0.023 0.500